Below is crystalline MgTi3Ni4 at its relaxed geometry, with properties calculated at the PBE level.

Computed properties:
final energy	-51.181	eV/cell
density of states at the Fermi level	7.6	states/eV per cell
symmetry	R-3m
formation enthalpy at 0 K	-0.347	eV/atom

Lattice parameters (Å, degrees): 7.449 7.449 7.449 33.22 33.22 33.22
Element x y z (fractional)
Mg: 0.000 0.000 0.000
Ti: 0.253 0.253 0.253
Ti: 0.500 0.500 0.500
Ti: 0.747 0.747 0.747
Ni: 0.133 0.133 0.133
Ni: 0.383 0.383 0.383
Ni: 0.617 0.617 0.617
Ni: 0.867 0.867 0.867